[1]
{"formula": "CaSc2B", "functional": "meta-GGA SCAN", "state": "single point on PBEsol structure", "lattice_angstrom": [[1.7800, 1.0277, 9.4031], [-1.7800, 1.0277, 9.4031], [0.0000, -2.0553, 9.4031]], "species": ["Ca", "Sc", "Sc", "B"], "frac_coords": [[0.0000, 0.0000, 0.0000], [0.1246, 0.1246, 0.1246], [0.8754, 0.8754, 0.8754], [0.5000, 0.5000, 0.5000]], "dft_energy_ev_per_cell": -45.40}


[2]
{"formula": "CuAg2Cl", "functional": "meta-GGA SCAN", "state": "single point on PBEsol structure", "lattice_angstrom": [[4.3912, -1.5239, 0.0000], [4.3912, 1.5239, 0.0000], [-0.8655, 0.0000, 6.2453]], "species": ["Cu", "Ag", "Ag", "Cl"], "frac_coords": [[0.0000, 0.0000, 0.0000], [0.2648, 0.2648, 0.8503], [0.5213, 0.5213, 0.6593], [0.5533, 0.5533, 0.2743]], "raw_formation_energy_ev_per_fu": -0.03, "e_above_lowest_polymorph_ev_per_atom": 0.000}


[3]
{"formula": "BeTc2Hg", "functional": "meta-GGA SCAN", "state": "single point on PBEsol structure", "lattice_angstrom": [[2.5534, -4.4156, 0.0000], [2.5534, 4.4156, 0.0000], [-0.7985, 0.0000, 2.5729]], "species": ["Be", "Tc", "Tc", "Hg"], "frac_coords": [[0.0000, 0.0000, 0.0000], [0.0000, 0.5000, 0.5000], [0.5000, 0.0000, 0.5000], [0.5000, 0.5000, 0.0000]], "e_above_lowest_polymorph_ev_per_atom": 0.190}


Result set for density of states at the Fermi level: 3.4 1.0 2.6 states/eV per cell, one per record in the order listed.